GaCu6Ni2 | PBE | relaxed

Values from the calculation:
- ΔE_f: 0.02 eV per atom
- Distance to the lowest polymorph of the same formula: 0.045 eV per atom

abc: 6.330 7.152 4.865
angles: 90.00 98.81 90.00
Space group C2/m (No. 12)
Inequivalent atoms, fractional coordinates:
Ga (0.000, 0.000, 0.000) (multiplicity 2)
Cu (0.000, 0.169, 0.500) (multiplicity 4)
Cu (0.165, 0.335, 0.170) (multiplicity 8)
Ni (0.168, 0.500, 0.668) (multiplicity 4)